Entry 1:
NaNdEuMg: relaxed, PBE.

energy of formation from the pure elements: 0.112 eV per atom

Structure (CIF):
```
data_NaNdEuMg
_chemical_formula_sum 'Na4 Nd4 Eu4 Mg4'
_symmetry_space_group_name_H-M 'F -4 3 m'
_symmetry_Int_Tables_number 216
_symmetry_space_group_name_Hall 'F -4 2 3'
_cell_length_a 8.1168
_cell_length_b 8.1168
_cell_length_c 8.1168
_cell_angle_alpha 90.00
_cell_angle_beta 90.00
_cell_angle_gamma 90.00
loop_
_atom_site_label
_atom_site_type_symbol
_atom_site_fract_x
_atom_site_fract_y
_atom_site_fract_z
_atom_site_occupancy
Na1 Na 0.0000 0.0000 0.0000 1
Nd1 Nd 0.2500 0.2500 0.2500 1
Eu1 Eu 0.2500 0.2500 0.7500 1
Mg1 Mg 0.0000 0.0000 0.5000 1
```



Entry 2:
Tb3PmPr2Te6: relaxed, PBE.

formation energy without anion corrections: -16.47 eV per formula unit

Structure (CIF):
```
data_Tb3PmPr2Te6
_chemical_formula_sum 'Tb6 Pm2 Pr4 Te12'
_symmetry_space_group_name_H-M 'C 1 2/m 1'
_symmetry_Int_Tables_number 12
_cell_length_a 19.4284
_cell_length_b 4.4009
_cell_length_c 8.9689
_cell_angle_alpha 90.00
_cell_angle_beta 104.26
_cell_angle_gamma 90.00
loop_
_symmetry_equiv_pos_as_xyz
'x,y,z'
'-x,-y,-z'
'-x,y,-z'
'x,-y,z'
'x+1/2,y+1/2,z'
'-x+1/2,-y+1/2,-z'
'-x+1/2,y+1/2,-z'
'x+1/2,-y+1/2,z'
loop_
_atom_site_label
_atom_site_type_symbol
_atom_site_fract_x
_atom_site_fract_y
_atom_site_fract_z
_atom_site_occupancy
Tb1 Tb 0.0000 0.0000 0.0000 1
Tb2 Tb 0.1682 0.5000 0.3340 1
Pm1 Pm 0.0000 0.0000 0.5000 1
Pr1 Pr 0.1671 0.5000 0.8345 1
Te1 Te 0.0034 0.5000 0.2464 1
Te2 Te 0.1635 0.0000 0.0910 1
Te3 Te 0.1677 0.0000 0.5754 1
```



Entry 3:
NaCrAsSe2: relaxed, PBE.

formation energy without anion corrections: -0.28 eV per formula unit
relative energy among the computed polymorphs: 0 meV per atom

Structure (CIF):
```
data_NaCrAsSe2
_chemical_formula_sum 'Na1 Cr1 As1 Se2'
_symmetry_space_group_name_H-M 'P 4/m m m'
_symmetry_Int_Tables_number 123
_symmetry_space_group_name_Hall '-P 4 2'
_cell_length_a 4.8982
_cell_length_b 4.8982
_cell_length_c 4.6547
_cell_angle_alpha 90.00
_cell_angle_beta 90.00
_cell_angle_gamma 90.00
loop_
_atom_site_label
_atom_site_type_symbol
_atom_site_fract_x
_atom_site_fract_y
_atom_site_fract_z
_atom_site_occupancy
Na1 Na 0.0000 0.0000 0.0000 1
Cr1 Cr 0.5000 0.5000 0.5000 1
As1 As 0.5000 0.5000 0.0000 1
Se1 Se 0.0000 0.5000 0.5000 1
```



Entry 4:
Nd2BiAs: relaxed, PBE.

energy of formation from the pure elements: -1.115 eV per atom

Structure (CIF):
```
data_Nd2BiAs
_chemical_formula_sum 'Nd6 Bi3 As3'
_symmetry_space_group_name_H-M 'R 3 m'
_symmetry_Int_Tables_number 160
_symmetry_space_group_name_Hall 'R 3 -2"'
_cell_length_a 4.3790
_cell_length_b 4.3790
_cell_length_c 22.7010
_cell_angle_alpha 90.00
_cell_angle_beta 90.00
_cell_angle_gamma 120.00
loop_
_atom_site_label
_atom_site_type_symbol
_atom_site_fract_x
_atom_site_fract_y
_atom_site_fract_z
_atom_site_occupancy
Nd1 Nd 0.0000 0.0000 0.0000 1
Nd2 Nd 0.0000 0.0000 0.1846 1
Bi1 Bi 0.0000 0.0000 0.4249 1
As1 As 0.0000 0.0000 0.5938 1
```



Entry 5:
SeCl3O: relaxed, PBE.

formation energy without anion corrections: -1.04 eV per formula unit
relative energy among the computed polymorphs: 0 meV per atom

Structure (CIF):
```
data_SeCl3O
_chemical_formula_sum 'Se4 Cl12 O4'
_symmetry_space_group_name_H-M 'P 1 2/c 1'
_symmetry_Int_Tables_number 13
_cell_length_a 7.7343
_cell_length_b 8.7793
_cell_length_c 13.4387
_cell_angle_alpha 90.00
_cell_angle_beta 110.97
_cell_angle_gamma 90.00
loop_
_symmetry_equiv_pos_as_xyz
'x,y,z'
'-x,-y,-z'
'-x,y,-z+1/2'
'x,-y,z+1/2'
loop_
_atom_site_label
_atom_site_type_symbol
_atom_site_fract_x
_atom_site_fract_y
_atom_site_fract_z
_atom_site_occupancy
Se1 Se 0.1156 0.2183 0.0865 1
Cl1 Cl 0.1755 0.3112 0.5133 1
Cl2 Cl 0.2422 0.3693 0.2328 1
Cl3 Cl 0.3169 0.2116 0.9953 1
O1 O 0.0949 0.0483 0.1275 1
```



Entry 6:
Rb2AgSnCl5: relaxed, PBE.

formation energy without anion corrections: -11.55 eV per formula unit

Structure (CIF):
```
data_Rb2AgSnCl5
_chemical_formula_sum 'Rb8 Ag4 Sn4 Cl20'
_symmetry_space_group_name_H-M 'C m c 21'
_symmetry_Int_Tables_number 36
_cell_length_a 4.6825
_cell_length_b 18.5609
_cell_length_c 13.7564
_cell_angle_alpha 90.00
_cell_angle_beta 90.00
_cell_angle_gamma 90.00
loop_
_symmetry_equiv_pos_as_xyz
'x,y,z'
'-x,-y,z+1/2'
'-x,y,z'
'x,-y,z+1/2'
'x+1/2,y+1/2,z'
'-x+1/2,-y+1/2,z+1/2'
'-x+1/2,y+1/2,z'
'x+1/2,-y+1/2,z+1/2'
loop_
_atom_site_label
_atom_site_type_symbol
_atom_site_fract_x
_atom_site_fract_y
_atom_site_fract_z
_atom_site_occupancy
Rb1 Rb 0.0000 0.1014 0.0000 1
Rb2 Rb 0.0000 0.1541 0.6417 1
Ag1 Ag 0.0000 0.2363 0.3947 1
Sn1 Sn 0.0000 0.4542 0.7713 1
Cl1 Cl 0.0000 0.0916 0.3650 1
Cl2 Cl 0.0000 0.2759 0.9865 1
Cl3 Cl 0.0000 0.3370 0.6757 1
Cl4 Cl 0.0000 0.3644 0.3244 1
Cl5 Cl 0.0000 0.4831 0.0940 1
```



Entry 7:
LiPrHoS3: relaxed, PBE.

formation energy without anion corrections: -10.98 eV per formula unit

Structure (CIF):
```
data_LiPrHoS3
_chemical_formula_sum 'Li2 Pr2 Ho2 S6'
_symmetry_space_group_name_H-M 'P 1 21/m 1'
_symmetry_Int_Tables_number 11
_cell_length_a 8.1446
_cell_length_b 3.8740
_cell_length_c 8.4783
_cell_angle_alpha 90.00
_cell_angle_beta 102.94
_cell_angle_gamma 90.00
loop_
_symmetry_equiv_pos_as_xyz
'x,y,z'
'-x,-y,-z'
'-x,y+1/2,-z'
'x,-y+1/2,z'
loop_
_atom_site_label
_atom_site_type_symbol
_atom_site_fract_x
_atom_site_fract_y
_atom_site_fract_z
_atom_site_occupancy
Li1 Li 0.0870 0.2500 0.0851 1
Pr1 Pr 0.1894 0.2500 0.7238 1
Ho1 Ho 0.3355 0.7500 0.3354 1
S1 S 0.1006 0.2500 0.3668 1
S2 S 0.2145 0.7500 0.0021 1
S3 S 0.4333 0.7500 0.6700 1
```



Entry 8:
SmZnInHg: relaxed, PBE.

energy of formation from the pure elements: -0.321 eV per atom

Structure (CIF):
```
data_SmZnInHg
_chemical_formula_sum 'Sm4 Zn4 In4 Hg4'
_symmetry_space_group_name_H-M 'F -4 3 m'
_symmetry_Int_Tables_number 216
_symmetry_space_group_name_Hall 'F -4 2 3'
_cell_length_a 7.2021
_cell_length_b 7.2021
_cell_length_c 7.2021
_cell_angle_alpha 90.00
_cell_angle_beta 90.00
_cell_angle_gamma 90.00
loop_
_atom_site_label
_atom_site_type_symbol
_atom_site_fract_x
_atom_site_fract_y
_atom_site_fract_z
_atom_site_occupancy
Sm1 Sm 0.0000 0.0000 0.0000 1
Zn1 Zn 0.2500 0.2500 0.2500 1
In1 In 0.0000 0.0000 0.5000 1
Hg1 Hg 0.2500 0.2500 0.7500 1
```



Entry 9:
K3Mg4Hg4: relaxed, PBE.

energy of formation from the pure elements: -0.163 eV per atom

Structure (CIF):
```
data_K3Mg4Hg4
_chemical_formula_sum 'K6 Mg8 Hg8'
_symmetry_space_group_name_H-M 'I -4 3 m'
_symmetry_Int_Tables_number 217
_symmetry_space_group_name_Hall 'I -4 2 3'
_cell_length_a 8.9420
_cell_length_b 8.9420
_cell_length_c 8.9420
_cell_angle_alpha 90.00
_cell_angle_beta 90.00
_cell_angle_gamma 90.00
loop_
_atom_site_label
_atom_site_type_symbol
_atom_site_fract_x
_atom_site_fract_y
_atom_site_fract_z
_atom_site_occupancy
K1 K 0.0000 0.0000 0.5000 1
Mg1 Mg 0.1280 0.1280 0.1280 1
Hg1 Hg 0.1907 0.1907 0.8093 1
```



Entry 10:
VAg: relaxed, PBE.

energy of formation from the pure elements: 0.423 eV per atom

Structure (CIF):
```
data_VAg
_chemical_formula_sum 'V6 Ag6'
_symmetry_space_group_name_H-M 'P 63/m'
_symmetry_Int_Tables_number 176
_symmetry_space_group_name_Hall '-P 6c'
_cell_length_a 9.0319
_cell_length_b 9.0319
_cell_length_c 2.8062
_cell_angle_alpha 90.00
_cell_angle_beta 90.00
_cell_angle_gamma 120.00
loop_
_atom_site_label
_atom_site_type_symbol
_atom_site_fract_x
_atom_site_fract_y
_atom_site_fract_z
_atom_site_occupancy
V1 V 0.1349 0.5691 0.2500 1
Ag1 Ag 0.1516 0.3119 0.7500 1
```



Entry 11:
Ti6BePb2: relaxed, PBE.

energy of formation from the pure elements: -0.080 eV per atom

Structure (CIF):
```
data_Ti6BePb2
_chemical_formula_sum 'Ti6 Be1 Pb2'
_symmetry_space_group_name_H-M 'P -6 2 m'
_symmetry_Int_Tables_number 189
_symmetry_space_group_name_Hall 'P -6 -2'
_cell_length_a 7.3055
_cell_length_b 7.3055
_cell_length_c 3.5650
_cell_angle_alpha 90.00
_cell_angle_beta 90.00
_cell_angle_gamma 120.00
loop_
_atom_site_label
_atom_site_type_symbol
_atom_site_fract_x
_atom_site_fract_y
_atom_site_fract_z
_atom_site_occupancy
Ti1 Ti 0.0000 0.2229 0.0000 1
Ti2 Ti 0.0000 0.6326 0.5000 1
Be1 Be 0.0000 0.0000 0.5000 1
Pb1 Pb 0.3333 0.6667 0.0000 1
```



The following DOS(E_F) values (in states/eV per cell) correspond, in order, to the records above: 43.7 12.3 6.2 4.3 1.5 0.0 3.7 4.3 7.6 9.1 9.7.